Here is a relaxed V2ZnHgO6 crystal from the Alexandria database. Energies are from PBE+U.

a b c (Å): 8.270 8.270 5.964
angles (deg): 102.92 102.92 99.85
Fractional coordinates of all 20 atoms:
1 V 0.119 0.278 0.118
2 V 0.278 0.119 0.618
3 V 0.722 0.881 0.382
4 V 0.881 0.722 0.882
5 Zn 0.262 0.738 0.250
6 Zn 0.738 0.262 0.750
7 Hg 0.401 0.599 0.750
8 Hg 0.599 0.401 0.250
9 O 0.096 0.776 0.982
10 O 0.187 0.201 0.376
11 O 0.187 0.493 0.200
12 O 0.201 0.187 0.876
13 O 0.224 0.904 0.518
14 O 0.493 0.187 0.700
15 O 0.507 0.813 0.300
16 O 0.776 0.096 0.482
17 O 0.799 0.813 0.124
18 O 0.813 0.507 0.800
19 O 0.813 0.799 0.624
20 O 0.904 0.224 0.018

Results
Space-group type   C2/c
Total moment   0.0000 μB/atom
Total DFT energy (no corrections)   -123.5 eV/cell